Material: WC2
Method: DFT, PBE
State: optimized geometry

```
WC2
1.0
1.636 0.944 5.522
-1.636 0.944 5.522
0.000 -1.889 5.522
W C
1 2
Direct
0.000 0.000 0.000 W
0.281 0.281 0.281 C
0.385 0.385 0.385 C
```

## Properties
**Calculated volume**: 51.2 Å³ per cell
**Calculated formation energy**: 1.304 eV/atom
**Space-group type**: R3m
**Spin magnetization**: 0.00 μB/cell

---

Material: Sm2Tl2In
Method: DFT, PBE
State: optimized geometry

```
Sm2Tl2In
1.0
0.000 5.772 10.316
2.698 0.000 10.316
2.698 5.772 0.000
Sm Tl In
4 4 2
Direct
0.030 0.720 0.030 Sm
0.280 0.970 0.280 Sm
0.720 0.030 0.720 Sm
0.970 0.280 0.970 Sm
0.000 0.500 0.500 Tl
0.500 0.000 0.500 Tl
0.500 0.500 0.000 Tl
0.500 0.500 0.500 Tl
0.375 0.375 0.375 In
0.625 0.625 0.625 In
```

## Properties
**Calculated volume**: 321.3 Å³ per cell
**Calculated formation energy**: -0.010 eV/atom
**Space-group type**: Fddd
**Spin magnetization**: 0.00 μB/cell